The following is a DFT calculation (GGA+U) of a relaxed Li3Cr2CuO6 crystal.

Structure (POSCAR):
```
Li3Cr2CuO6
1.0
1.480 6.444 0.009
-1.480 6.444 0.009
0.000 1.345 5.755
Li Cr Cu O
3 2 1 6
Direct
0.500 0.500 0.500 Li
0.162 0.162 0.168 Li
0.838 0.838 0.832 Li
0.166 0.166 0.670 Cr
0.834 0.834 0.330 Cr
0.500 0.500 0.000 Cu
0.663 0.663 0.903 O
0.328 0.328 0.568 O
0.337 0.337 0.097 O
0.994 0.994 0.240 O
0.006 0.006 0.760 O
0.672 0.672 0.432 O
```

crystal system: monoclinic
VASP energy: -75.29 eV for the cell shown
symmetry: C2/m